Material: Ca2Hg3Pd5
Method: DFT, PBE-GGA
State: optimized geometry

```
Ca2Hg3Pd5
1.0
-5.485 -0.318 -1.690
-3.390 -8.005 2.735
-5.134 4.499 6.038
Pd Ca Hg
10 4 6
Direct
0.502 0.748 0.748 Pd
0.002 0.748 0.748 Pd
0.640 0.712 0.009 Pd
0.498 0.252 0.252 Pd
0.860 0.991 0.288 Pd
0.750 0.500 0.500 Pd
0.250 0.500 0.500 Pd
0.140 0.009 0.712 Pd
0.360 0.288 0.991 Pd
0.998 0.252 0.252 Pd
0.124 0.658 0.094 Ca
0.876 0.342 0.906 Ca
0.376 0.906 0.342 Ca
0.624 0.094 0.658 Ca
0.614 0.533 0.238 Hg
0.750 0.000 0.000 Hg
0.250 0.000 0.000 Hg
0.886 0.762 0.467 Hg
0.114 0.238 0.533 Hg
0.386 0.467 0.762 Hg
```

Properties
- Energy: -3.47 eV/atom
- SG: Ibam